CsTi2WO8 | PBE+U | relaxed

a b c (Å): 5.785 5.785 8.420
angles (deg): 90.00 90.00 120.00
Each line ends with the local moment (μB).
Fractional coordinates of all 12 atoms:
1 O 0.667 0.333 0.091  0.24
2 O 0.313 0.157 0.365  0.09
3 O 0.156 0.313 0.635  0.09
4 O 0.843 0.156 0.365  0.09
5 O 0.333 0.667 0.909  0.24
6 O 0.844 0.687 0.365  0.09
7 O 0.687 0.843 0.635  0.09
8 Ti 0.333 0.667 0.704  -0.05
9 O 0.157 0.844 0.635  0.09
10 Cs 0.000 0.000 0.000  0.00
11 Ti 0.667 0.333 0.296  -0.05
12 W 0.000 0.000 0.500  -0.06

Summary:
- Crystal system: trigonal
- Space group: P-3m1
- ρ: 3.7 g/cm³
- Size of the total moment: 1.08 μB per cell
- Uncorrected energy: -7.608 eV/atom